Arrangement a

# PBE LiAcCu2, optimized geometry
# D(E_F) = 2.68 states/eV/f.u.
# Total moment = 0.0 Bohr magnetons per cell
# ρ = 6.99 Mg/m³
data_LiAcCu2
_space_group_name_H-M_alt 'R -3 m'
_space_group_IT_number 166
_space_group_name_Hall '-R 3 2"'
_cell_length_a 4.3805
_cell_length_b 4.3805
_cell_length_c 15.4845
_cell_angle_alpha 90.00
_cell_angle_beta 90.00
_cell_angle_gamma 120.00
loop_
_atom_site_label
_atom_site_fract_x
_atom_site_fract_y
_atom_site_fract_z
Li1 0.0000 0.0000 0.0000
Ac1 0.0000 0.0000 0.5000
Cu1 0.0000 0.0000 0.3017



Arrangement b

# PBE LiAcCu2, optimized geometry
# D(E_F) = 2.00 states/eV/f.u.
# Total moment = 0.0 Bohr magnetons per cell
# ρ = 7.19 Mg/m³
data_LiAcCu2
_space_group_name_H-M_alt 'P 4/m m m'
_space_group_IT_number 123
_space_group_name_Hall '-P 4 2'
_cell_length_a 3.549
_cell_length_b 3.549
_cell_length_c 6.618
_cell_angle_alpha 90.00
_cell_angle_beta 90.00
_cell_angle_gamma 90.00
loop_
_atom_site_label
_atom_site_fract_x
_atom_site_fract_y
_atom_site_fract_z
Li1 0.000 0.000 0.000
Ac1 0.000 0.000 0.500
Cu1 0.500 0.500 0.186



Which of them is the least stable? Correct choice: arrangement b.



Arrangement a

# PBE LiAcCu2, optimized geometry
# D(E_F) = 2.73 states/eV/f.u.
# Total moment = 0.0 Bohr magnetons per cell
# ρ = 6.65 Mg/m³
data_LiAcCu2
_space_group_name_H-M_alt 'F m -3 m'
_space_group_IT_number 225
_space_group_name_Hall '-F 4 2 3'
_cell_length_a 7.117
_cell_length_b 7.117
_cell_length_c 7.117
_cell_angle_alpha 90.00
_cell_angle_beta 90.00
_cell_angle_gamma 90.00
loop_
_atom_site_label
_atom_site_fract_x
_atom_site_fract_y
_atom_site_fract_z
Li1 0.000 0.000 0.000
Ac1 0.000 0.000 0.500
Cu1 0.250 0.250 0.250



Arrangement b

# PBE LiAcCu2, optimized geometry
# D(E_F) = 1.87 states/eV/f.u.
# Total moment = 0.0 Bohr magnetons per cell
# ρ = 6.76 Mg/m³
data_LiAcCu2
_space_group_name_H-M_alt 'P 4/m m m'
_space_group_IT_number 123
_space_group_name_Hall '-P 4 2'
_cell_length_a 4.949
_cell_length_b 4.949
_cell_length_c 3.620
_cell_angle_alpha 90.00
_cell_angle_beta 90.00
_cell_angle_gamma 90.00
loop_
_atom_site_label
_atom_site_fract_x
_atom_site_fract_y
_atom_site_fract_z
Li1 0.000 0.000 0.000
Ac1 0.500 0.500 0.000
Cu1 0.000 0.500 0.500



Which of them is the least stable? Correct choice: arrangement b.



Arrangement a

# PBE LiAcCu, optimized geometry
# D(E_F) = 2.60 states/eV/f.u.
# Total moment = 0.0 Bohr magnetons per cell
# ρ = 5.70 Mg/m³
data_LiAcCu
_space_group_name_H-M_alt 'F -4 3 m'
_space_group_IT_number 216
_space_group_name_Hall 'F -4 2 3'
_cell_length_a 7.023
_cell_length_b 7.023
_cell_length_c 7.023
_cell_angle_alpha 90.00
_cell_angle_beta 90.00
_cell_angle_gamma 90.00
loop_
_atom_site_label
_atom_site_fract_x
_atom_site_fract_y
_atom_site_fract_z
Li1 0.000 0.000 0.000
Ac1 0.000 0.000 0.500
Cu1 0.250 0.250 0.750



Arrangement b

# PBE LiAcCu, optimized geometry
# D(E_F) = 2.65 states/eV/f.u.
# Total moment = 0.0 Bohr magnetons per cell
# ρ = 6.81 Mg/m³
data_LiAcCu
_space_group_name_H-M_alt 'I 4 m m'
_space_group_IT_number 107
_space_group_name_Hall 'I 4 -2'
_cell_length_a 3.724
_cell_length_b 3.724
_cell_length_c 10.457
_cell_angle_alpha 90.00
_cell_angle_beta 90.00
_cell_angle_gamma 90.00
loop_
_atom_site_label
_atom_site_fract_x
_atom_site_fract_y
_atom_site_fract_z
Li1 0.000 0.000 0.000
Ac1 0.000 0.000 0.288
Cu1 0.000 0.000 0.607



Arrangement c

# PBE LiAcCu, optimized geometry
# D(E_F) = 1.91 states/eV/f.u.
# Total moment = 0.0 Bohr magnetons per cell
# ρ = 6.17 Mg/m³
data_LiAcCu
_space_group_name_H-M_alt 'C m c m'
_space_group_IT_number 63
_space_group_name_Hall '-C 2c 2'
_cell_length_a 4.073
_cell_length_b 18.589
_cell_length_c 4.231
_cell_angle_alpha 90.00
_cell_angle_beta 90.00
_cell_angle_gamma 90.00
loop_
_atom_site_label
_atom_site_fract_x
_atom_site_fract_y
_atom_site_fract_z
Li1 0.000 0.212 0.250
Ac1 0.000 0.402 0.250
Cu1 0.000 0.039 0.250



Arrangement d

# PBE LiAcCu, optimized geometry
# D(E_F) = 2.08 states/eV/f.u.
# Total moment = 0.0 Bohr magnetons per cell
# ρ = 6.33 Mg/m³
data_LiAcCu
_space_group_name_H-M_alt 'C m c m'
_space_group_IT_number 63
_space_group_name_Hall '-C 2c 2'
_cell_length_a 4.024
_cell_length_b 19.097
_cell_length_c 4.062
_cell_angle_alpha 90.00
_cell_angle_beta 90.00
_cell_angle_gamma 90.00
loop_
_atom_site_label
_atom_site_fract_x
_atom_site_fract_y
_atom_site_fract_z
Li1 0.000 0.250 0.250
Ac1 0.000 0.091 0.750
Cu1 0.000 0.345 0.750



Which of them is the least stable? Correct choice: arrangement a.



Arrangement a

# PBE LiAcCuPd, optimized geometry
# D(E_F) = 2.73 states/eV/f.u.
# Total moment = 0.0 Bohr magnetons per cell
# ρ = 7.37 Mg/m³
data_LiAcCuPd
_space_group_name_H-M_alt 'F -4 3 m'
_space_group_IT_number 216
_space_group_name_Hall 'F -4 2 3'
_cell_length_a 7.140
_cell_length_b 7.140
_cell_length_c 7.140
_cell_angle_alpha 90.00
_cell_angle_beta 90.00
_cell_angle_gamma 90.00
loop_
_atom_site_label
_atom_site_fract_x
_atom_site_fract_y
_atom_site_fract_z
Li1 0.000 0.000 0.000
Ac1 0.000 0.000 0.500
Cu1 0.250 0.250 0.250
Pd1 0.250 0.250 0.750



Arrangement b

# PBE LiAcCuPd, optimized geometry
# D(E_F) = 1.54 states/eV/f.u.
# Total moment = 0.0 Bohr magnetons per cell
# ρ = 7.68 Mg/m³
data_LiAcCuPd
_space_group_name_H-M_alt 'R 3 m'
_space_group_IT_number 160
_space_group_name_Hall 'R 3 -2"'
_cell_length_a 4.4076
_cell_length_b 4.4076
_cell_length_c 15.5627
_cell_angle_alpha 90.00
_cell_angle_beta 90.00
_cell_angle_gamma 120.00
loop_
_atom_site_label
_atom_site_fract_x
_atom_site_fract_y
_atom_site_fract_z
Li1 0.0000 0.0000 0.0000
Ac1 0.0000 0.0000 0.5023
Cu1 0.0000 0.0000 0.7027
Pd1 0.0000 0.0000 0.2964



Which of them is the least stable? Correct choice: arrangement a.



Arrangement a

# PBE AcLuCu2, optimized geometry
# D(E_F) = 2.81 states/eV/f.u.
# Total moment = 0.0 Bohr magnetons per cell
# ρ = 9.40 Mg/m³
data_AcLuCu2
_space_group_name_H-M_alt 'P 4/m m m'
_space_group_IT_number 123
_space_group_name_Hall '-P 4 2'
_cell_length_a 5.116
_cell_length_b 5.116
_cell_length_c 3.570
_cell_angle_alpha 90.00
_cell_angle_beta 90.00
_cell_angle_gamma 90.00
loop_
_atom_site_label
_atom_site_fract_x
_atom_site_fract_y
_atom_site_fract_z
Ac1 0.000 0.000 0.000
Lu1 0.500 0.500 0.000
Cu1 0.000 0.500 0.500



Arrangement b

# PBE AcLuCu2, optimized geometry
# D(E_F) = 2.29 states/eV/f.u.
# Total moment = 0.0 Bohr magnetons per cell
# ρ = 8.86 Mg/m³
data_AcLuCu2
_space_group_name_H-M_alt 'R -3 m'
_space_group_IT_number 166
_space_group_name_Hall '-R 3 2"'
_cell_length_a 4.7700
_cell_length_b 4.7700
_cell_length_c 15.0914
_cell_angle_alpha 90.00
_cell_angle_beta 90.00
_cell_angle_gamma 120.00
loop_
_atom_site_label
_atom_site_fract_x
_atom_site_fract_y
_atom_site_fract_z
Ac1 0.0000 0.0000 0.0000
Lu1 0.0000 0.0000 0.5000
Cu1 0.0000 0.0000 0.2038



Arrangement c

# PBE AcLuCu2, optimized geometry
# D(E_F) = 2.15 states/eV/f.u.
# Total moment = 0.0 Bohr magnetons per cell
# ρ = 9.50 Mg/m³
data_AcLuCu2
_space_group_name_H-M_alt 'P 4/m m m'
_space_group_IT_number 123
_space_group_name_Hall '-P 4 2'
_cell_length_a 3.575
_cell_length_b 3.575
_cell_length_c 7.233
_cell_angle_alpha 90.00
_cell_angle_beta 90.00
_cell_angle_gamma 90.00
loop_
_atom_site_label
_atom_site_fract_x
_atom_site_fract_y
_atom_site_fract_z
Ac1 0.000 0.000 0.000
Lu1 0.000 0.000 0.500
Cu1 0.500 0.500 0.300



Which of them is the least stable? Correct choice: arrangement a.



Arrangement a

# PBE Ac2LuCu, optimized geometry
# D(E_F) = 5.64 states/eV/f.u.
# Total moment = 0.0 Bohr magnetons per cell
# ρ = 8.33 Mg/m³
data_Ac2LuCu
_space_group_name_H-M_alt 'R -3 m'
_space_group_IT_number 166
_space_group_name_Hall '-R 3 2"'
_cell_length_a 3.7438
_cell_length_b 3.7438
_cell_length_c 34.1386
_cell_angle_alpha 90.00
_cell_angle_beta 90.00
_cell_angle_gamma 120.00
loop_
_atom_site_label
_atom_site_fract_x
_atom_site_fract_y
_atom_site_fract_z
Ac1 0.0000 0.0000 0.1022
Lu1 0.0000 0.0000 0.0000
Cu1 0.0000 0.0000 0.5000



Arrangement b

# PBE Ac2LuCu, optimized geometry
# D(E_F) = 5.65 states/eV/f.u.
# Total moment = 0.0 Bohr magnetons per cell
# ρ = 8.88 Mg/m³
data_Ac2LuCu
_space_group_name_H-M_alt 'P 4/m m m'
_space_group_IT_number 123
_space_group_name_Hall '-P 4 2'
_cell_length_a 3.848
_cell_length_b 3.848
_cell_length_c 8.745
_cell_angle_alpha 90.00
_cell_angle_beta 90.00
_cell_angle_gamma 90.00
loop_
_atom_site_label
_atom_site_fract_x
_atom_site_fract_y
_atom_site_fract_z
Ac1 0.000 0.000 0.212
Lu1 0.500 0.500 0.500
Cu1 0.500 0.500 0.000



Which of them is the least stable? Correct choice: arrangement a.